[1]
Entry from Alexandria via LeMat-Bulk: a geometry-optimized Ac6TeRh2Se3 structure (PBE).

## Properties
raw formation energy = -1389 meV/atom

Cell: 7.7599 7.7599 8.0315 Å, 99.49 99.49 120.08°
With the nearest neighbours (Å) after each atom.
Fractional positions:
Ac: 0.0582 0.4235 0.7650  2 Rh 3.02-3.07, 2 Se 3.18-3.38, 1 Te 3.34
Ac: 0.2155 0.2155 0.2352  2 Rh 3.06, 3 Se 3.11-3.26, 1 Te 3.34
Ac: 0.4235 0.0582 0.7650  2 Rh 3.02-3.07, 2 Se 3.18-3.38, 1 Te 3.34
Ac: 0.5765 0.9418 0.2350  2 Rh 3.02-3.07, 2 Se 3.18-3.38, 1 Te 3.34
Ac: 0.7845 0.7845 0.7648  2 Rh 3.06, 3 Se 3.11-3.26, 1 Te 3.34
Ac: 0.9418 0.5765 0.2350  2 Rh 3.02-3.07, 2 Se 3.18-3.38, 1 Te 3.34
Te: 0.5000 0.5000 0.0000  6 Ac 3.34
Rh: 0.1683 0.8317 0.0000  6 Ac 3.02-3.07
Rh: 0.8317 0.1683 0.0000  6 Ac 3.02-3.07
Se: 0.0000 0.0000 0.5000  6 Ac 3.11-3.38
Se: 0.3445 0.6555 0.5000  6 Ac 3.18-3.39
Se: 0.6555 0.3445 0.5000  6 Ac 3.18-3.39

[2]
Entry from Alexandria via LeMat-Bulk: a geometry-optimized KAlRh structure (PBE).

## Properties
distance to the lowest polymorph of the same formula = 347 meV/atom

Cell: 3.2382 3.2382 7.2937 Å, 90.00 90.00 120.00°
With the nearest neighbours (Å) after each atom.
Fractional positions:
K: 0.0000 0.0000 0.0000  3 Rh 3.23, 6 K 3.24, 3 Al 3.60
Al: 0.3333 0.6667 0.5778  3 Rh 2.44
Rh: 0.6667 0.3333 0.3618  3 Al 2.44

[3]
Entry from Alexandria via LeMat-Bulk: a geometry-optimized BeNb3Se structure (PBE).

## Properties
raw formation energy = 582 meV/atom
distance to the lowest polymorph of the same formula = 0 meV/atom

Cell: 4.4530 4.4530 4.4530 Å, 90.00 90.00 90.00°
With the nearest neighbours (Å) after each atom.
Fractional positions:
Be: 0.0000 0.0000 0.0000  6 Nb 2.23
Nb: 0.0000 0.0000 0.5000  2 Be 2.23
Nb: 0.0000 0.5000 0.0000  2 Be 2.23
Nb: 0.5000 0.0000 0.0000  2 Be 2.23
Se: 0.5000 0.5000 0.5000  12 Nb 3.15

[4]
Entry from Alexandria via LeMat-Bulk: a geometry-optimized PaPdRuAu structure (PBE).

## Properties
distance to the lowest polymorph of the same formula = 250 meV/atom

Cell: 6.6551 6.6551 6.6551 Å, 90.00 90.00 90.00°
With the nearest neighbours (Å) after each atom.
Fractional positions:
Pa: 0.0000 0.0000 0.0000  4 Pd 2.88, 4 Ru 2.88
Pa: 0.0000 0.5000 0.5000  4 Ru 2.88, 4 Pd 2.88
Pa: 0.5000 0.0000 0.5000  4 Ru 2.88, 4 Pd 2.88
Pa: 0.5000 0.5000 0.0000  4 Ru 2.88, 4 Pd 2.88
Pd: 0.2500 0.2500 0.2500  4 Pa 2.88, 4 Au 2.88
Pd: 0.2500 0.7500 0.7500  4 Pa 2.88, 4 Au 2.88
Pd: 0.7500 0.2500 0.7500  4 Pa 2.88, 4 Au 2.88
Pd: 0.7500 0.7500 0.2500  4 Pa 2.88, 4 Au 2.88
Ru: 0.2500 0.2500 0.7500  4 Pa 2.88, 4 Au 2.88
Ru: 0.2500 0.7500 0.2500  4 Pa 2.88, 4 Au 2.88
Ru: 0.7500 0.2500 0.2500  4 Pa 2.88, 4 Au 2.88
Ru: 0.7500 0.7500 0.7500  4 Au 2.88, 4 Pa 2.88
Au: 0.0000 0.0000 0.5000  4 Ru 2.88, 4 Pd 2.88
Au: 0.0000 0.5000 0.0000  4 Ru 2.88, 4 Pd 2.88
Au: 0.5000 0.0000 0.0000  4 Ru 2.88, 4 Pd 2.88
Au: 0.5000 0.5000 0.5000  4 Ru 2.88, 4 Pd 2.88

no.,V (Å³/f.u.)
1,395.00
2,66.23
3,88.30
4,73.69